10
Lattice="-0.228 3.807 -1.336 -3.901 -0.550 -0.900 -2.455 2.953 8.833" Properties=species:S:1:pos:R:3 comment="PBE Pm2Ni4P3Au, optimized geometry" e_tot_ev_per_atom=-6.02 dos_at_fermi_per_ev_cell=7.01 pbc="T T T"
P -2.256 0.092 0.649
P -2.264 4.489 7.066
P -1.227 1.477 4.417
Au -3.292 3.105 3.298
Ni -2.819 0.770 2.674
Ni -2.065 1.628 -1.118
Ni 0.000 0.000 0.000
Ni -1.701 3.812 5.041
Pm -3.816 1.969 6.262
Pm -0.704 2.613 1.453